An optimized crystal structure of SmErGa, computed with PBE-GGA.

Results
The value obtained for the total magnetization is 0.00 μB per atom. The total energy comes out at -13.4 eV/f.u. Its energy above the lowest structure with this stoichiometry is 45.6 meV per atom. The density of states at the Fermi level is 0.6912 states/eV per atom. The space-group type is I4mm, No. 107. The calculation puts the energy relative to the elements at -0.362 eV per atom.

Unit cell a=7.018 b=7.018 c=7.018 alpha=151.19 beta=151.19 gamma=41.20
Sites, in units of the cell vectors:
Sm: 0.000 0.000 0.000
Er: 0.290 0.290 0.000
Ga: 0.651 0.651 0.000